The following is a DFT calculation (GGA-PBE) of crystalline TlZn2CuRe at its relaxed geometry.

Lattice parameters (Å, degrees): 4.931 4.931 5.382 90.00 90.00 90.00
Space group P4/mmm (No. 123)
Asymmetric unit:
Tl  0.000  0.000  0.000
Zn  0.000  0.500  0.000
Cu  0.500  0.500  0.500
Re  0.000  0.000  0.500

## Properties
**Magnetic moment**: 3.4 μB/f.u.
**Calculated formation energy**: 1.827 eV/atom
**Density of states at the Fermi level**: 0.7078 states/eV/atom
**Energy**: -2.46 eV per atom

---

The following is a DFT calculation (GGA-PBE) of crystalline TlZnCuRe2 at its relaxed geometry.

Lattice parameters (Å, degrees): 4.650 4.650 4.383 90.00 90.00 90.00
Space group P4/mmm (No. 123)
Asymmetric unit:
Tl  0.000  0.000  0.000
Zn  0.500  0.500  0.000
Cu  0.500  0.500  0.500
Re  0.000  0.500  0.500

## Properties
**Magnetic moment**: 3.3 μB/f.u.
**Polymorph energy (0 for the lowest one)**: 0.0 meV/atom
**Calculated formation energy**: 1.566 eV/atom
**Density of states at the Fermi level**: 0.6365 states/eV/atom
**Energy**: -4.96 eV per atom

---

The following is a DFT calculation (GGA-PBE) of crystalline TlZnCuRe2 at its relaxed geometry.

Lattice parameters (Å, degrees): 4.660 4.660 4.822 90.00 90.00 90.00
Space group P4/mmm (No. 123)
Asymmetric unit:
Tl  0.000  0.000  0.000
Zn  0.000  0.000  0.500
Cu  0.500  0.500  0.000
Re  0.000  0.500  0.500

## Properties
**Magnetic moment**: 3.9 μB/f.u.
**Polymorph energy (0 for the lowest one)**: 568.1 meV/atom
**Calculated formation energy**: 2.134 eV/atom
**Density of states at the Fermi level**: 1.0117 states/eV/atom
**Energy**: -4.39 eV per atom

---

The following is a DFT calculation (GGA-PBE) of crystalline ZrTl2CuRe at its relaxed geometry.

Lattice parameters (Å, degrees): 5.608 5.608 4.834 90.00 90.00 90.00
Space group P4/mmm (No. 123)
Asymmetric unit:
Zr  0.000  0.000  0.000
Tl  0.000  0.500  0.000
Cu  0.000  0.000  0.500
Re  0.500  0.500  0.500

## Properties
**Magnetic moment**: 4.0 μB/f.u.
**Calculated formation energy**: 1.907 eV/atom
**Density of states at the Fermi level**: 1.0391 states/eV/atom
**Energy**: -4.06 eV per atom

---

- Number 2 is which compound?
  TlZnCuRe2